Entry 1:
First-principles (GGA-PBE) data for crystalline ZnW2Cl at its relaxed geometry, as listed in Alexandria.

Cell and atoms, written as POSCAR:
```
ZnW2Cl
1.0
3.143 0.000 0.000
0.000 3.143 0.000
0.000 0.000 7.928
Zn W Cl
1 2 1
Direct
0.000 0.000 0.000 Zn
0.000 0.000 0.617 W
0.500 0.500 0.795 W
0.500 0.500 0.380 Cl
```

Properties
Its mass density is 9.94 g/cm3. The formation energy without anion corrections comes out at 0.43 eV/atom. For the energy above the most stable polymorph in this dataset, the calculation gives 123 meV per atom. The final energy comes out at -6.827 eV/atom.

=====

Entry 2:
First-principles (GGA-PBE) data for crystalline KLiBiAu at its relaxed geometry, as listed in Alexandria.

Cell and atoms, written as POSCAR:
```
KLiBiAu
1.0
7.383 0.000 0.000
0.000 7.383 0.000
0.000 0.000 7.383
K Li Bi Au
4 4 4 4
Direct
0.000 0.000 0.000 K
0.000 0.500 0.500 K
0.500 0.000 0.500 K
0.500 0.500 0.000 K
0.250 0.250 0.250 Li
0.250 0.750 0.750 Li
0.750 0.250 0.750 Li
0.750 0.750 0.250 Li
0.000 0.000 0.500 Bi
0.000 0.500 0.000 Bi
0.500 0.000 0.000 Bi
0.500 0.500 0.500 Bi
0.250 0.250 0.750 Au
0.250 0.750 0.250 Au
0.750 0.250 0.250 Au
0.750 0.750 0.750 Au
```

Properties
Its mass density is 7.46 g/cm3. For the formation energy, the calculation gives -248 meV/atom. The final energy comes out at -2.791 eV/atom.